An optimized crystal structure of Na3Cr2PdO6, computed with GGA+U.

Computed properties:
Calculated total energy (eV per atom): -6.03
D(E_F) (states/eV/cell): 2.7
V (Å³/cell): 267.4
Calculated density (Mg/m³): 4.66

Unit cell a=5.295 b=9.385 c=5.643 alpha=90.00 beta=107.54 gamma=90.00
Space group C2/m (No. 12)
Symmetry-distinct sites (fractional):
Na (0.000, 0.000, 0.000) x2
Na (0.000, 0.337, 0.000) x4
Cr (0.000, 0.169, 0.500) x4
Pd (0.000, 0.500, 0.500) x2
O (0.227, 0.000, 0.694) x4
O (0.243, 0.322, 0.707) x8

---

An optimized crystal structure of Na4Pm3CrO8, computed with GGA+U.

Computed properties:
Calculated total energy (eV per atom): -6.55
D(E_F) (states/eV/cell): 0.0
V (Å³/cell): 685.5
Calculated density (Mg/m³): 5.14

Unit cell a=6.8671 b=6.8671 c=16.7870 alpha=90.00 beta=90.00 gamma=120.00
Space group R-3m (No. 166, hexagonal axes)
Symmetry-distinct sites (fractional):
Na (0.0000, 0.0000, 0.0000) x3
Na (0.0000, 0.5000, 0.0000) x9
Pm (0.0000, 0.5000, 0.5000) x9
Cr (0.0000, 0.0000, 0.5000) x3
O (0.0000, 0.0000, 0.2398) x6
O (0.0258, 0.5129, 0.2364) x18

---

An optimized crystal structure of Na3Pm3CrO8, computed with GGA+U.

Computed properties:
Calculated total energy (eV per atom): -6.77
V (Å³/cell): 452.3
Calculated density (Mg/m³): 5.02

Unit cell a=11.783 b=6.862 c=6.827 alpha=90.00 beta=124.98 gamma=90.00
Space group C2/m (No. 12)
Symmetry-distinct sites (fractional):
Na (0.000, 0.000, 0.000) x2
Na (0.250, 0.250, 0.500) x4
Pm (0.000, 0.500, 0.500) x2
Pm (0.250, 0.250, 0.000) x4
Cr (0.000, 0.000, 0.500) x2
O (0.007, 0.216, 0.709) x8
O (0.208, 0.000, 0.721) x4
O (0.240, 0.500, 0.761) x4

---

An optimized crystal structure of NaPmCr2O8, computed with GGA+U.

Computed properties:
Calculated total energy (eV per atom): -6.93
D(E_F) (states/eV/cell): 0.0
V (Å³/cell): 345.0
Calculated density (Mg/m³): 3.85

Unit cell a=7.371 b=7.371 c=6.349 alpha=90.00 beta=90.00 gamma=90.00
Space group I-4m2 (No. 119)
Symmetry-distinct sites (fractional):
Na (0.000, 0.000, 0.000) x2
Pm (0.000, 0.500, 0.750) x2
Cr (0.000, 0.000, 0.500) x2
Cr (0.000, 0.500, 0.250) x2
O (0.000, 0.183, 0.654) x8
O (0.000, 0.324, 0.085) x8

---

An optimized crystal structure of NaPmCrO4, computed with GGA+U.

Computed properties:
Calculated total energy (eV per atom): -6.97
D(E_F) (states/eV/cell): 0.0
V (Å³/cell): 239.0
Calculated density (Mg/m³): 3.95

Unit cell a=6.022 b=5.826 c=6.866 alpha=90.00 beta=97.24 gamma=90.00
Space group P2_1/m (No. 11)
Symmetry-distinct sites (fractional):
Na (0.144, 0.250, 0.374) x2
Pm (0.311, 0.250, 0.930) x2
Cr (0.198, 0.750, 0.175) x2
O (0.017, 0.250, 0.670) x2
O (0.050, 0.750, 0.936) x2
O (0.401, 0.515, 0.184) x4

---

An optimized crystal structure of Na3Pm2CrO6, computed with GGA+U.

Computed properties:
Calculated total energy (eV per atom): -6.57
D(E_F) (states/eV/cell): 0.0
V (Å³/cell): 333.6
Calculated density (Mg/m³): 5.05

Unit cell a=5.856 b=10.201 c=5.889 alpha=90.00 beta=108.52 gamma=90.00
Space group C2/m (No. 12)
Symmetry-distinct sites (fractional):
Na (0.000, 0.000, 0.000) x2
Na (0.000, 0.351, 0.000) x4
Pm (0.000, 0.168, 0.500) x4
Cr (0.000, 0.500, 0.500) x2
O (0.218, 0.350, 0.710) x8
O (0.237, 0.500, 0.295) x4

---

An optimized crystal structure of Na2PmCrO4, computed with GGA+U.

Computed properties:
Calculated total energy (eV per atom): -6.51
D(E_F) (states/eV/cell): 0.0
V (Å³/cell): 104.9
Calculated density (Mg/m³): 4.86

Unit cell a=5.687 b=3.325 c=5.874 alpha=90.00 beta=109.28 gamma=90.00
Space group P2/m (No. 10)
Symmetry-distinct sites (fractional):
Na (0.000, 0.000, 0.000) x1
Na (0.500, 0.500, 0.000) x1
Pm (0.000, 0.500, 0.500) x1
Cr (0.500, 0.000, 0.500) x1
O (0.268, 0.000, 0.712) x2
O (0.291, 0.500, 0.296) x2

---

An optimized crystal structure of Na2PrCrO4, computed with GGA+U.

Computed properties:
Calculated total energy (eV per atom): -6.45
D(E_F) (states/eV/cell): 0.0
V (Å³/cell): 107.6
Calculated density (Mg/m³): 4.67

Unit cell a=5.757 b=3.361 c=5.903 alpha=90.00 beta=109.60 gamma=90.00
Space group P2/m (No. 10)
Symmetry-distinct sites (fractional):
Na (0.000, 0.000, 0.000) x1
Na (0.500, 0.500, 0.000) x1
Pr (0.000, 0.500, 0.500) x1
Cr (0.500, 0.000, 0.500) x1
O (0.274, 0.000, 0.713) x2
O (0.293, 0.500, 0.296) x2

---

An optimized crystal structure of NaPr2CrO6, computed with GGA+U.

Computed properties:
Calculated total energy (eV per atom): -7.10
V (Å³/cell): 145.7
Calculated density (Mg/m³): 5.16

Unit cell a=5.404 b=5.404 c=4.988 alpha=90.00 beta=90.00 gamma=90.00
Space group P4mm (No. 99)
Symmetry-distinct sites (fractional):
Na (0.000, 0.000, 0.000) x1
Pr (0.000, 0.500, 0.438) x2
Cr (0.500, 0.500, 0.028) x1
O (0.000, 0.000, 0.554) x1
O (0.276, 0.276, 0.159) x4
O (0.500, 0.500, 0.683) x1

---

An optimized crystal structure of Na3Pr3CrO8, computed with GGA+U.

Computed properties:
Calculated total energy (eV per atom): -6.70
V (Å³/cell): 467.6
Calculated density (Mg/m³): 4.77

Unit cell a=11.812 b=6.976 c=6.871 alpha=90.00 beta=124.32 gamma=90.00
Space group C2/m (No. 12)
Symmetry-distinct sites (fractional):
Na (0.000, 0.000, 0.000) x2
Na (0.250, 0.250, 0.500) x4
Pr (0.000, 0.500, 0.500) x2
Pr (0.250, 0.250, 0.000) x4
Cr (0.000, 0.000, 0.500) x2
O (0.005, 0.214, 0.708) x8
O (0.206, 0.000, 0.716) x4
O (0.241, 0.500, 0.760) x4

---

An optimized crystal structure of NaPrCrO4, computed with GGA+U.

Computed properties:
Calculated total energy (eV per atom): -6.89
D(E_F) (states/eV/cell): 1.3
V (Å³/cell): 414.5
Calculated density (Mg/m³): 4.49

Unit cell a=6.164 b=7.228 c=9.304 alpha=90.00 beta=90.00 gamma=90.00
Space group Imma (No. 74)
Symmetry-distinct sites (fractional):
Na (0.000, 0.250, 0.120) x4
Pr (0.000, 0.000, 0.500) x4
Cr (0.250, 0.250, 0.750) x4
O (0.000, 0.065, 0.751) x8
O (0.238, 0.250, 0.543) x8

---

An optimized crystal structure of NaCr2PtO8, computed with GGA+U.

Computed properties:
Calculated total energy (eV per atom): -6.22
D(E_F) (states/eV/cell): 3.5
V (Å³/cell): 168.1
Calculated density (Mg/m³): 4.45

Unit cell a=5.1512 b=5.1512 c=7.3136 alpha=90.00 beta=90.00 gamma=120.00
Space group P-3 (No. 147)
Symmetry-distinct sites (fractional):
Na (0.0000, 0.0000, 0.0000) x1
Cr (0.3333, 0.6667, 0.7413) x2
Pt (0.0000, 0.0000, 0.5000) x1
O (0.0428, 0.3290, 0.6694) x6
O (0.3333, 0.6667, 0.9635) x2